Record 1
# GGA-PBE DyCd4Ag2, optimized geometry
data_DyCd4Ag2
_space_group_name_H-M_alt 'C 1 2/m 1'
_space_group_IT_number 12
_space_group_name_Hall '-C 2y'
_cell_length_a 9.1959
_cell_length_b 7.4162
_cell_length_c 5.5579
_cell_angle_alpha 90.00
_cell_angle_beta 127.03
_cell_angle_gamma 90.00
loop_
_atom_site_label
_atom_site_fract_x
_atom_site_fract_y
_atom_site_fract_z
Dy1 0.0000 0.0000 0.0000
Cd1 0.1969 0.1955 0.6969
Ag1 0.9997 0.5000 0.2505
# E = -30.095 eV per cell
# Calculated density = 9.09 Mg/m³
# Formation energy from the elements = -0.1547 eV per atom



Record 2
# GGA-PBE Dy4Cd3Ag, optimized geometry
data_Dy4Cd3Ag
_space_group_name_H-M_alt 'P 4/m m m'
_space_group_IT_number 123
_space_group_name_Hall '-P 4 2'
_cell_length_a 3.7038
_cell_length_b 3.7038
_cell_length_c 14.9534
_cell_angle_alpha 90.00
_cell_angle_beta 90.00
_cell_angle_gamma 90.00
loop_
_atom_site_label
_atom_site_fract_x
_atom_site_fract_y
_atom_site_fract_z
Dy1 0.0000 0.0000 0.1186
Dy2 0.0000 0.0000 0.3729
Cd1 0.5000 0.5000 0.2478
Cd2 0.5000 0.5000 0.5000
Ag1 0.5000 0.5000 0.0000
# E = -26.545 eV per cell
# Calculated density = 8.86 Mg/m³
# Formation energy from the elements = -0.3174 eV per atom



Look up the E of the first one. -30.095 eV per cell